Material: VCl2
Method: DFT, PBE-GGA
State: relaxed

Calculated values
Its energy relative to the elements, uncorrected is -1.130 eV/atom. For the total DFT energy (no corrections), the calculation gives -5.401 eV per atom.

Lattice parameters (Å, degrees): 3.6513 3.6513 6.5515 74.91 74.91 60.01
Last column: nearest neighbours and their distance in Å.
Atoms (fractional coordinates):
1 V 0.0000 0.0000 0.0000  6 Cl 2.49
2 Cl 0.2671 0.2671 0.2131  3 V 2.49
3 Cl 0.7329 0.7329 0.7869  3 V 2.49